Entry 1:
Y9Tm11Sc4, relaxed, DFT PBE; energy of formation = 0.040 eV/atom; SG = Cmmm; crystal system = orthorhombic; E_tot = -5.49 eV/atom
1.0
8.185 -12.354 0.000
8.185 12.354 0.000
0.000 0.000 3.588
Y Tm Sc
9 11 4
direct
0.000 0.000 0.000 Y
0.129 0.665 0.000 Y
0.283 0.427 0.000 Y
0.335 0.871 0.000 Y
0.427 0.283 0.000 Y
0.573 0.717 0.000 Y
0.665 0.129 0.000 Y
0.717 0.573 0.000 Y
0.871 0.335 0.000 Y
0.092 0.452 0.500 Tm
0.130 0.870 0.500 Tm
0.202 0.202 0.500 Tm
0.341 0.659 0.500 Tm
0.452 0.092 0.500 Tm
0.500 0.500 0.500 Tm
0.548 0.908 0.500 Tm
0.659 0.341 0.500 Tm
0.798 0.798 0.500 Tm
0.870 0.130 0.500 Tm
0.908 0.548 0.500 Tm
0.053 0.256 0.000 Sc
0.256 0.053 0.000 Sc
0.744 0.947 0.000 Sc
0.947 0.744 0.000 Sc

=====

Entry 2:
LuPb3, relaxed, DFT PBE; energy of formation = -0.057 eV/atom; SG = Fm-3m; crystal system = cubic; E_tot = -3.97 eV/atom
1.0
0.000 3.915 3.915
3.915 0.000 3.915
3.915 3.915 0.000
Lu Pb
1 3
direct
0.000 0.000 0.000 Lu
0.250 0.250 0.250 Pb
0.500 0.500 0.500 Pb
0.750 0.750 0.750 Pb

=====

Entry 3:
Ho2CuS4, relaxed, DFT PBE; SG = P2_1/m; formation energy (no corrections) = -1.454 eV/atom; crystal system = monoclinic; E_tot = -5.71 eV/atom
1.0
6.643 0.000 0.000
0.000 5.555 0.000
-2.228 0.000 7.373
Ho Cu S
4 2 8
direct
0.234 0.250 0.435 Ho
0.235 0.250 0.932 Ho
0.765 0.750 0.068 Ho
0.766 0.750 0.565 Ho
0.247 0.750 0.185 Cu
0.753 0.250 0.815 Cu
0.066 0.750 0.889 S
0.067 0.750 0.394 S
0.482 0.512 0.744 S
0.482 0.988 0.744 S
0.518 0.012 0.256 S
0.518 0.488 0.256 S
0.933 0.250 0.606 S
0.934 0.250 0.111 S

=====

Entry 4:
Nd2Dy2Sb3, relaxed, DFT PBE; SG = P-1; formation energy (no corrections) = -0.883 eV/atom; ΔE to the lowest computed polymorph = 135 meV/atom; crystal system = triclinic; E_tot = -5.33 eV/atom
1.0
4.375 0.000 0.000
2.182 7.174 0.000
0.001 1.114 7.478
Nd Dy Sb
2 2 3
direct
0.121 0.259 0.384 Nd
0.879 0.741 0.616 Nd
0.375 0.751 0.121 Dy
0.625 0.249 0.879 Dy
0.000 0.500 0.000 Sb
0.252 0.994 0.753 Sb
0.748 0.006 0.247 Sb

=====

Entry 5:
TbY3Th3, relaxed, DFT PBE; energy of formation = 0.052 eV/atom; SG = P6_3/m; crystal system = hexagonal; E_tot = -6.56 eV/atom
1.0
9.538 0.000 0.000
-4.769 8.260 0.000
0.000 0.000 5.820
Tb Y Th
2 6 6
direct
0.333 0.667 0.250 Tb
0.667 0.333 0.750 Tb
0.044 0.239 0.250 Y
0.196 0.956 0.250 Y
0.239 0.196 0.750 Y
0.761 0.804 0.250 Y
0.804 0.044 0.750 Y
0.956 0.761 0.750 Y
0.103 0.488 0.750 Th
0.384 0.897 0.750 Th
0.488 0.384 0.250 Th
0.512 0.616 0.750 Th
0.616 0.103 0.250 Th
0.897 0.512 0.250 Th

=====

Entry 6:
Ba2NaPtF, relaxed, DFT PBE; SG = P4/mmm; formation energy (no corrections) = -1.274 eV/atom; crystal system = tetragonal; E_tot = -3.89 eV/atom
1.0
5.513 0.000 0.000
0.000 5.513 0.000
0.000 0.000 4.498
Ba Na Pt F
2 1 1 1
direct
0.000 0.500 0.000 Ba
0.500 0.000 0.000 Ba
0.000 0.000 0.500 Na
0.500 0.500 0.500 Pt
0.000 0.000 0.000 F

=====

Entry 7:
Al3Zn8Ag2, relaxed, DFT PBE; energy of formation = 0.062 eV/atom; SG = P2/m; ΔE to the lowest computed polymorph = 0 meV/atom; crystal system = monoclinic; E_tot = -2.02 eV/atom
1.0
6.867 0.000 0.000
0.000 4.495 0.000
-3.400 0.000 7.117
Al Zn Ag
3 8 2
direct
0.000 0.000 0.000 Al
0.293 0.500 0.014 Al
0.707 0.500 0.986 Al
0.143 0.500 0.274 Zn
0.239 0.000 0.818 Zn
0.314 0.500 0.667 Zn
0.410 0.000 0.254 Zn
0.590 0.000 0.746 Zn
0.686 0.500 0.333 Zn
0.761 0.000 0.182 Zn
0.857 0.500 0.726 Zn
0.188 0.000 0.462 Ag
0.812 0.000 0.538 Ag

=====

Entry 8:
Ta4CrSi2, relaxed, DFT PBE; SG = I4/mmm; formation energy (no corrections) = 0.767 eV/atom; crystal system = tetragonal; E_tot = -8.93 eV/atom
1.0
-2.217 2.217 6.738
2.217 -2.217 6.738
2.217 2.217 -6.738
Ta Cr Si
4 1 2
direct
0.000 0.500 0.500 Ta
0.176 0.176 0.000 Ta
0.500 0.000 0.500 Ta
0.824 0.824 0.000 Ta
0.000 0.000 0.000 Cr
0.367 0.367 0.000 Si
0.633 0.633 0.000 Si

=====

Entry 9:
BaBi12Rh6, relaxed, DFT PBE; energy of formation = -0.134 eV/atom; SG = R-3m; crystal system = trigonal; E_tot = -5.01 eV/atom
1.0
6.700 3.868 3.246
-6.700 3.868 3.246
0.000 -7.736 3.246
Ba Bi Rh
1 12 6
direct
0.000 0.000 0.000 Ba
0.122 0.500 0.878 Bi
0.122 0.878 0.500 Bi
0.170 0.433 0.433 Bi
0.433 0.170 0.433 Bi
0.433 0.433 0.170 Bi
0.500 0.122 0.878 Bi
0.500 0.878 0.122 Bi
0.567 0.567 0.830 Bi
0.567 0.830 0.567 Bi
0.830 0.567 0.567 Bi
0.878 0.122 0.500 Bi
0.878 0.500 0.122 Bi
0.260 0.260 0.707 Rh
0.260 0.707 0.260 Rh
0.293 0.740 0.740 Rh
0.707 0.260 0.260 Rh
0.740 0.293 0.740 Rh
0.740 0.740 0.293 Rh

=====

What is the formula in the ninth record? BaBi12Rh6

=====

Which formula does entry 4 have? Nd2Dy2Sb3

=====

Which value of E_tot does entry 8 give? -8.93 eV/atom

=====

What is the E_tot in the third record? -5.71 eV/atom